Computed, not measured: a relaxed structure of SrHS2Cl at the PBE-GGA level of DFT.

As for the electronic total energy: -14.32 eV for the cell shown.

It has space group P4/mmm (No. 123), with a = 6.0261 Å, b = 6.0261 Å, c = 5.6452 Å, α = 90.00°, β = 90.00° and γ = 90.00°. The inequivalent atoms are Sr at (0.0000, 0.0000, 0.0000), H at (0.5000, 0.5000, 0.5000), S at (0.0000, 0.5000, 0.0000) and Cl at (0.0000, 0.0000, 0.5000).

Computed, not measured: a relaxed structure of TaH3S2Cl6 at the PBE-GGA level of DFT.

As for the electronic total energy: -91.91 eV for the cell shown.

It has space group C2/m (No. 12), with a = 10.5755 Å, b = 6.2854 Å, c = 8.0981 Å, α = 90.00°, β = 107.59° and γ = 90.00°. The inequivalent atoms are Ta at (0.0000, 0.0000, 0.0000), H at (0.0000, 0.5000, 0.5000), H at (0.2500, 0.2500, 0.5000), S at (0.1685, 0.5000, 0.4958), Cl at (0.0566, 0.0000, 0.7390) and Cl at (0.1595, 0.2585, 0.1265).

Computed, not measured: a relaxed structure of TaHSCl2 at the PBE-GGA level of DFT.

As for the electronic total energy: -20.00 eV for the cell shown.

It has space group P4/mmm (No. 123), with a = 4.7495 Å, b = 4.7495 Å, c = 3.2704 Å, α = 90.00°, β = 90.00° and γ = 90.00°. The inequivalent atoms are Ta at (0.0000, 0.0000, 0.0000), H at (0.5000, 0.5000, 0.5000), S at (0.5000, 0.5000, 0.0000) and Cl at (0.0000, 0.5000, 0.5000).

Computed, not measured: a relaxed structure of TaHSCl2 at the PBE-GGA level of DFT.

As for the electronic total energy: -24.18 eV for the cell shown.

It has space group P4/mmm (No. 123), with a = 4.8930 Å, b = 4.8930 Å, c = 4.7132 Å, α = 90.00°, β = 90.00° and γ = 90.00°. The inequivalent atoms are Ta at (0.0000, 0.0000, 0.0000), H at (0.5000, 0.5000, 0.5000), S at (0.0000, 0.0000, 0.5000) and Cl at (0.0000, 0.5000, 0.0000).

Computed, not measured: a relaxed structure of TeHSCl2 at the PBE-GGA level of DFT.

As for the electronic total energy: -12.36 eV for the cell shown.

It has space group P4/mmm (No. 123), with a = 5.3472 Å, b = 5.3472 Å, c = 4.9386 Å, α = 90.00°, β = 90.00° and γ = 90.00°. The inequivalent atoms are Te at (0.0000, 0.0000, 0.0000), H at (0.5000, 0.5000, 0.5000), S at (0.0000, 0.0000, 0.5000) and Cl at (0.0000, 0.5000, 0.0000).

Computed, not measured: a relaxed structure of TeHSCl2 at the PBE-GGA level of DFT.

As for the electronic total energy: -11.41 eV for the cell shown.

It has space group P4/mmm (No. 123), with a = 4.1498 Å, b = 4.1498 Å, c = 5.0449 Å, α = 90.00°, β = 90.00° and γ = 90.00°. The inequivalent atoms are Te at (0.0000, 0.0000, 0.0000), H at (0.5000, 0.5000, 0.5000), S at (0.5000, 0.5000, 0.0000) and Cl at (0.0000, 0.5000, 0.5000).

Computed, not measured: a relaxed structure of TeH2S2Cl2 at the PBE-GGA level of DFT.

As for the electronic total energy: -42.16 eV for the cell shown.

It has space group C2/m (No. 12), with a = 12.3241 Å, b = 3.3171 Å, c = 9.0424 Å, α = 90.00°, β = 123.98° and γ = 90.00°. The inequivalent atoms are Te at (0.0000, 0.0000, 0.0000), H at (0.0205, 0.5000, 0.7100), S at (0.0141, 0.0000, 0.3026) and Cl at (0.2034, 0.5000, 0.1447).

Computed, not measured: a relaxed structure of TiHSCl2 at the PBE-GGA level of DFT.

As for the electronic total energy: -18.24 eV for the cell shown.

It has space group P4/mmm (No. 123), with a = 4.7892 Å, b = 4.7892 Å, c = 3.3159 Å, α = 90.00°, β = 90.00° and γ = 90.00°. The inequivalent atoms are Ti at (0.0000, 0.0000, 0.0000), H at (0.5000, 0.5000, 0.5000), S at (0.5000, 0.5000, 0.0000) and Cl at (0.0000, 0.5000, 0.5000).

Computed, not measured: a relaxed structure of TiHSCl2 at the PBE-GGA level of DFT.

As for the electronic total energy: -21.39 eV for the cell shown.

It has space group P4/mmm (No. 123), with a = 4.8789 Å, b = 4.8789 Å, c = 4.6004 Å, α = 90.00°, β = 90.00° and γ = 90.00°. The inequivalent atoms are Ti at (0.0000, 0.0000, 0.0000), H at (0.5000, 0.5000, 0.5000), S at (0.0000, 0.0000, 0.5000) and Cl at (0.0000, 0.5000, 0.0000).

Computed, not measured: a relaxed structure of Tl2HSCl at the PBE-GGA level of DFT.

As for the electronic total energy: -33.63 eV for the cell shown.

It has space group P2_1/m (No. 11), with a = 8.0302 Å, b = 4.6097 Å, c = 8.7041 Å, α = 90.00°, β = 112.24° and γ = 90.00°. The inequivalent atoms are Tl at (0.2340, 0.2500, 0.0224), Tl at (0.2384, 0.7500, 0.5650), H at (0.4266, 0.7500, 0.3315), S at (0.4910, 0.2500, 0.7783) and Cl at (0.0133, 0.2500, 0.2539).

Computed, not measured: a relaxed structure of TlHSCl2 at the PBE-GGA level of DFT.

As for the electronic total energy: -11.13 eV for the cell shown.

It has space group P4/mmm (No. 123), with a = 5.3603 Å, b = 5.3603 Å, c = 5.2893 Å, α = 90.00°, β = 90.00° and γ = 90.00°. The inequivalent atoms are Tl at (0.0000, 0.0000, 0.0000), H at (0.5000, 0.5000, 0.5000), S at (0.0000, 0.0000, 0.5000) and Cl at (0.0000, 0.5000, 0.0000).

Computed, not measured: a relaxed structure of Tl2H2SCl2 at the PBE-GGA level of DFT.

As for the electronic total energy: -22.54 eV for the cell shown.

It has space group P-1 (No. 2), with a = 4.3726 Å, b = 6.4273 Å, c = 6.6575 Å, α = 76.98°, β = 79.79° and γ = 79.22°. The inequivalent atoms are Tl at (0.0008, 0.2436, 0.2645), H at (0.4671, 0.3380, 0.8414), S at (0.5000, 0.5000, 0.0000) and Cl at (0.3900, 0.2044, 0.7026).

Number 1: spin magnetization 4.00 μB per formula unit. Number 2: spin magnetization 2.04 μB per formula unit. Number 3: spin magnetization 0.48 μB per formula unit. Number 4: spin magnetization 0.99 μB per formula unit. Number 5: spin magnetization 1.00 μB per formula unit. Number 6: spin magnetization 0.00 μB per formula unit. Number 7: spin magnetization 0.00 μB per formula unit. Number 8: spin magnetization 0.00 μB per formula unit. Number 9: spin magnetization 1.01 μB per formula unit. Number 10: spin magnetization 0.00 μB per formula unit. Number 11: spin magnetization 2.27 μB per formula unit. Number 12: spin magnetization 0.00 μB per formula unit.